A relaxed PrAl3Ag3 crystal, computed with PBE-GGA.

Output
The density of states at the Fermi level comes out at 3.69 states/eV per cell. The energy of formation is -0.090 eV per atom. For the total energy, the calculation gives -3.60 eV/atom.

Structure (POSCAR):
```
PrAl3Ag3
1.0
-1.832 1.610 -7.855
2.940 -4.822 -5.980
-3.889 -4.123 -4.244
Pr Al Ag
2 6 6
Direct
0.322 0.322 0.034 Pr
0.678 0.678 0.966 Pr
0.445 0.795 0.624 Al
0.795 0.136 0.624 Al
0.136 0.445 0.624 Al
0.864 0.555 0.376 Al
0.205 0.864 0.376 Al
0.555 0.205 0.376 Al
0.219 0.677 0.160 Ag
0.944 0.219 0.160 Ag
0.677 0.944 0.160 Ag
0.323 0.056 0.840 Ag
0.056 0.781 0.840 Ag
0.781 0.323 0.840 Ag
```